[1]
HoSc7Tl2 | PBE | relaxed

Results
space group: Cmmm, No. 65
raw total energy: -4.97 eV/atom
E_form: 0.395 eV per atom

Unit cell a=5.133 b=8.428 c=8.428 alpha=120.23 beta=90.00 gamma=90.00
Each line ends with the local moment (μB).
Positions (direct):
Ho1 0.000 0.000 0.000  0.21
Sc1 0.000 0.776 0.224  0.21
Sc2 0.000 0.224 0.776  0.21
Sc3 0.500 0.058 0.296  0.18
Sc4 0.500 0.942 0.704  0.18
Sc5 0.500 0.296 0.058  0.18
Sc6 0.500 0.704 0.942  0.18
Sc7 0.500 0.500 0.500  0.07
Tl1 0.500 0.696 0.304  0.01
Tl2 0.500 0.304 0.696  0.01

***

[2]
HfMnAg | PBE | relaxed

Results
space group: R-3m, No. 166
raw total energy: -6.76 eV/atom
E_form: 0.568 eV per atom

Unit cell a=4.525 b=4.525 c=6.934 alpha=70.96 beta=70.96 gamma=60.00
Each line ends with the local moment (μB).
Positions (direct):
Mn1 0.297 0.297 0.110  2.32
Mn2 0.703 0.703 0.890  2.32
Ag1 0.143 0.143 0.571  -0.02
Ag2 0.857 0.857 0.429  -0.02
Hf1 0.421 0.421 0.737  -0.34
Hf2 0.579 0.579 0.263  -0.34

***

[3]
RbGaH | PBE | relaxed

Results
space group: C2/m, No. 12
raw total energy: -2.61 eV/atom

Unit cell a=4.850 b=4.850 c=9.172 alpha=122.00 beta=122.00 gamma=59.98
Positions (direct):
H1 0.012 0.012 0.767
H2 0.988 0.988 0.233
Ga1 0.850 0.850 0.525
Ga2 0.150 0.150 0.475
Rb1 0.698 0.698 0.796
Rb2 0.302 0.302 0.204

***

[4]
Sr2TlRePt | PBE | relaxed

Results
space group: P4/mmm, No. 123
raw total energy: -3.99 eV/atom
E_form: 0.853 eV per atom

Unit cell a=5.581 b=5.183 c=5.581 alpha=90.00 beta=90.00 gamma=90.00
Positions (direct):
Re1 0.000 0.000 0.000
Tl1 0.000 0.500 0.000
Pt1 0.500 0.500 0.500
Sr1 0.000 0.000 0.500
Sr2 0.500 0.000 0.000

***

[5]
DyAlGaRu | PBE | relaxed

Results
space group: R3m, No. 160
raw total energy: -5.66 eV/atom
E_form: -0.501 eV per atom

Unit cell a=4.233 b=4.233 c=5.547 alpha=67.57 beta=67.57 gamma=60.00
Positions (direct):
Dy1 0.808 0.808 0.577
Al1 0.598 0.598 0.207
Ga1 0.020 0.020 0.939
Ru1 0.300 0.300 0.099